[1]
Density functional theory data (PBE-GGA) for an optimized crystal structure of CsNbHgO4.

Lattice parameters (Å, degrees): 6.0967 6.7587 8.0073 90.00 105.83 90.00
Last column: nearest neighbours and their distance in Å.
Element x y z (fractional)
Cs (0.2086, 0.2500, 0.4436)  2 O 2.98-3.18
Cs (0.7914, 0.7500, 0.5564)  2 O 2.98-3.18
Nb (0.2393, 0.7500, 0.1673)  4 O 1.82-1.93
Nb (0.7607, 0.2500, 0.8327)  4 O 1.82-1.93
Hg (0.3730, 0.2500, 0.0128)  3 O 2.27-2.30
Hg (0.6270, 0.7500, 0.9872)  3 O 2.27-2.30
O (0.0090, 0.2500, 0.0325)  1 Nb 1.88
O (0.1485, 0.7500, 0.3664)  1 Nb 1.82
O (0.4481, 0.5337, 0.1761)  1 Nb 1.93
O (0.4481, 0.9663, 0.1761)  1 Nb 1.93
O (0.5519, 0.0337, 0.8239)  1 Nb 1.93
O (0.5519, 0.4663, 0.8239)  1 Nb 1.93
O (0.8515, 0.2500, 0.6336)  1 Nb 1.82
O (0.9910, 0.7500, 0.9675)  1 Nb 1.88

## Properties
formation energy without anion corrections = -11.798 eV per formula unit

[2]
Density functional theory data (PBE-GGA) for an optimized crystal structure of NaNdP2O8.

Lattice parameters (Å, degrees): 5.9562 5.9562 5.9562 106.34 106.34 115.94
Last column: nearest neighbours and their distance in Å.
Element x y z (fractional)
Na (0.0000, 0.0000, 0.0000)  8 O 2.43-2.57
Nd (0.7500, 0.2500, 0.5000)  8 O 2.42-2.53
P (0.2500, 0.7500, 0.5000)  4 O 1.55
P (0.5000, 0.5000, 0.0000)  4 O 1.55
O (0.1005, 0.4285, 0.3281)  1 P 1.55
O (0.1005, 0.7724, 0.6719)  1 P 1.55
O (0.1806, 0.3553, 0.8253)  1 P 1.55
O (0.2276, 0.8995, 0.3281)  1 P 1.55
O (0.5300, 0.3553, 0.1747)  1 P 1.55
O (0.5715, 0.8995, 0.6719)  1 P 1.55
O (0.6447, 0.4700, 0.8253)  1 P 1.55
O (0.6447, 0.8194, 0.1747)  1 P 1.55

## Properties
formation energy without anion corrections = -26.954 eV per formula unit

[3]
Density functional theory data (PBE-GGA) for an optimized crystal structure of Tb4CuHgAu2.

Lattice parameters (Å, degrees): 8.8748 8.8748 8.8748 33.50 33.50 33.50
Last column: nearest neighbours and their distance in Å.
Element x y z (fractional)
Tb (0.1201, 0.1201, 0.1201)  1 Cu 3.02, 4 Au 3.08-3.22, 3 Hg 3.18
Tb (0.3708, 0.3708, 0.3708)  4 Au 3.08-3.19, 3 Cu 3.10, 1 Hg 3.24
Tb (0.6292, 0.6292, 0.6292)  4 Au 3.08-3.19, 3 Cu 3.10, 1 Hg 3.24
Tb (0.8799, 0.8799, 0.8799)  1 Cu 3.02, 4 Au 3.08-3.22, 3 Hg 3.18
Cu (0.0000, 0.0000, 0.0000)  8 Tb 3.02-3.10
Hg (0.5000, 0.5000, 0.5000)  8 Tb 3.18-3.24
Au (0.2482, 0.2482, 0.2482)  8 Tb 3.08-3.22
Au (0.7518, 0.7518, 0.7518)  8 Tb 3.08-3.22

## Properties
formation energy = -0.596 eV/atom

[4]
Density functional theory data (PBE-GGA) for an optimized crystal structure of K2TaAg.

Lattice parameters (Å, degrees): 3.1427 3.1427 35.9780 90.00 90.00 120.00
Last column: nearest neighbours and their distance in Å.
Element x y z (fractional)
K (0.0000, 0.0000, 0.2458)  6 K 3.14, 3 Ag 3.38
K (0.0000, 0.0000, 0.7542)  6 K 3.14, 3 Ag 3.38
K (0.3333, 0.6667, 0.4208)  6 K 3.14, 3 Ag 3.38
K (0.3333, 0.6667, 0.9125)  6 K 3.14, 3 Ag 3.38
K (0.6667, 0.3333, 0.0875)  6 K 3.14, 3 Ag 3.38
K (0.6667, 0.3333, 0.5792)  6 K 3.14, 3 Ag 3.38
Ta (0.0000, 0.0000, 0.0000)  6 Ta 3.14
Ta (0.3333, 0.6667, 0.6667)  6 Ta 3.14
Ta (0.6667, 0.3333, 0.3333)  6 Ta 3.14
Ag (0.0000, 0.0000, 0.5000)  6 Ag 3.14, 6 K 3.38
Ag (0.3333, 0.6667, 0.1667)  6 Ag 3.14, 6 K 3.38
Ag (0.6667, 0.3333, 0.8333)  6 Ag 3.14, 6 K 3.38

## Properties
formation energy = 0.932 eV/atom

[5]
Density functional theory data (PBE-GGA) for an optimized crystal structure of Hf6ZnRh.

Lattice parameters (Å, degrees): 5.4457 5.4464 5.4468 93.32 93.24 93.15
Last column: nearest neighbours and their distance in Å.
Element x y z (fractional)
Hf (0.0091, 0.2551, 0.0363)  2 Hf 2.73-2.78, 1 Rh 2.79, 1 Zn 3.02
Hf (0.2449, 0.9640, 0.4912)  2 Hf 2.72-2.78, 1 Rh 2.80, 1 Zn 3.02
Hf (0.4634, 0.4912, 0.7448)  2 Hf 2.72-2.78, 1 Rh 2.79, 1 Zn 3.02
Hf (0.5366, 0.5088, 0.2552)  2 Hf 2.72-2.78, 1 Rh 2.79, 1 Zn 3.02
Hf (0.7551, 0.0360, 0.5088)  2 Hf 2.72-2.78, 1 Rh 2.80, 1 Zn 3.02
Hf (0.9909, 0.7449, 0.9637)  2 Hf 2.73-2.78, 1 Rh 2.79, 1 Zn 3.02
Zn (0.5000, 0.0000, 0.0000)  12 Hf 3.02-3.10
Rh (0.0000, 0.5000, 0.5000)  6 Hf 2.79-2.80

## Properties
formation energy = -0.170 eV/atom

[6]
Density functional theory data (PBE-GGA) for an optimized crystal structure of Li3ClO.

Lattice parameters (Å, degrees): 5.1363 10.5779 4.8736 90.00 90.00 90.00
Last column: nearest neighbours and their distance in Å.
Element x y z (fractional)
Li (0.2465, 0.2500, 0.2486)  2 O 1.95
Li (0.2489, 0.1411, 0.7492)  2 O 1.98
Li (0.2489, 0.3589, 0.7492)  2 O 1.98
Li (0.2511, 0.6411, 0.2492)  2 O 1.98
Li (0.2511, 0.8589, 0.2492)  2 O 1.98
Li (0.2535, 0.7500, 0.7486)  2 O 1.95
Li (0.7465, 0.2500, 0.2514)  2 O 1.95
Li (0.7489, 0.1411, 0.7508)  2 O 1.98
Li (0.7489, 0.3589, 0.7508)  2 O 1.98
Li (0.7511, 0.6411, 0.2508)  2 O 1.98
Li (0.7511, 0.8589, 0.2508)  2 O 1.98
Li (0.7535, 0.7500, 0.7514)  2 O 1.95
Cl (0.0000, 0.0000, 0.0000)  4 Li 2.31-2.32
Cl (0.0000, 0.5000, 0.0000)  4 Li 2.31-2.32
Cl (0.5000, 0.0000, 0.5000)  4 Li 2.31-2.32
Cl (0.5000, 0.5000, 0.5000)  4 Li 2.31-2.32
O (0.0017, 0.7500, 0.4493)  6 Li 1.95-1.98
O (0.4983, 0.2500, 0.9493)  6 Li 1.95-1.98
O (0.5017, 0.7500, 0.0507)  6 Li 1.95-1.98
O (0.9983, 0.2500, 0.5507)  6 Li 1.95-1.98

## Properties
formation energy without anion corrections = -8.691 eV per formula unit

[7]
Density functional theory data (PBE-GGA) for an optimized crystal structure of Dy6YHoSc2.

Lattice parameters (Å, degrees): 8.6317 8.6317 9.3432 93.54 93.54 117.89
Last column: nearest neighbours and their distance in Å.
Element x y z (fractional)
Dy (0.0181, 0.5623, 0.1820)  4 Dy 3.19-3.52, 2 Sc 3.32-3.46, 1 Ho 3.40, 1 Y 3.55
Dy (0.1213, 0.7563, 0.5536)  7 Dy 3.34-3.70, 1 Sc 3.37, 1 Y 3.59
Dy (0.2437, 0.8787, 0.9464)  7 Dy 3.34-3.70, 1 Sc 3.37, 1 Y 3.59
Dy (0.2948, 0.5024, 0.3822)  3 Sc 3.17-3.33, 4 Dy 3.19-3.54, 2 Ho 3.31-3.45
Dy (0.4377, 0.9819, 0.3180)  4 Dy 3.19-3.52, 2 Sc 3.32-3.46, 1 Ho 3.40, 1 Y 3.55
Dy (0.4976, 0.7052, 0.1178)  3 Sc 3.17-3.33, 4 Dy 3.19-3.54, 2 Ho 3.31-3.45
Dy (0.5024, 0.2948, 0.8822)  3 Sc 3.17-3.33, 4 Dy 3.19-3.54, 2 Ho 3.31-3.45
Dy (0.5623, 0.0181, 0.6820)  4 Dy 3.19-3.52, 2 Sc 3.32-3.46, 1 Ho 3.40, 1 Y 3.55
Dy (0.7052, 0.4976, 0.6178)  3 Sc 3.17-3.33, 4 Dy 3.19-3.54, 2 Ho 3.31-3.45
Dy (0.7563, 0.1213, 0.0536)  7 Dy 3.34-3.70, 1 Sc 3.37, 1 Y 3.59
Dy (0.8787, 0.2437, 0.4464)  7 Dy 3.34-3.70, 1 Sc 3.37, 1 Y 3.59
Dy (0.9819, 0.4377, 0.8180)  4 Dy 3.19-3.52, 2 Sc 3.32-3.46, 1 Ho 3.40, 1 Y 3.55
Y (0.0254, 0.9746, 0.2500)  4 Sc 3.33-3.37, 4 Dy 3.55-3.59
Y (0.9746, 0.0254, 0.7500)  4 Sc 3.33-3.37, 4 Dy 3.55-3.59
Ho (0.4084, 0.5916, 0.7500)  6 Dy 3.31-3.45, 2 Sc 3.49
Ho (0.5916, 0.4084, 0.2500)  6 Dy 3.31-3.45, 2 Sc 3.49
Sc (0.1967, 0.3064, 0.0461)  6 Dy 3.17-3.46, 2 Y 3.33-3.37, 1 Ho 3.49
Sc (0.3064, 0.1967, 0.5461)  6 Dy 3.17-3.46, 2 Y 3.33-3.37, 1 Ho 3.49
Sc (0.6936, 0.8033, 0.4539)  6 Dy 3.17-3.46, 2 Y 3.33-3.37, 1 Ho 3.49
Sc (0.8033, 0.6936, 0.9539)  6 Dy 3.17-3.46, 2 Y 3.33-3.37, 1 Ho 3.49

## Properties
formation energy = 0.122 eV/atom

[8]
Density functional theory data (PBE-GGA) for an optimized crystal structure of K2PdIO6.

Lattice parameters (Å, degrees): 10.4393 10.4393 10.4393 32.72 32.72 32.72
Last column: nearest neighbours and their distance in Å.
Element x y z (fractional)
K (0.1221, 0.1221, 0.1221)  12 O 2.89-3.16
K (0.2856, 0.2856, 0.2856)  12 O 2.95-3.18
K (0.7144, 0.7144, 0.7144)  12 O 2.95-3.18
K (0.8779, 0.8779, 0.8779)  12 O 2.89-3.16
Pd (0.4072, 0.4072, 0.4072)  6 O 2.07-2.15
Pd (0.5928, 0.5928, 0.5928)  6 O 2.07-2.15
I (0.0000, 0.0000, 0.0000)  6 O 1.98
I (0.5000, 0.5000, 0.5000)  6 O 1.92
O (0.1653, 0.6065, 0.6065)  1 I 1.92
O (0.1955, 0.1955, 0.7298)  1 I 1.98, 1 Pd 2.07
O (0.1955, 0.7298, 0.1955)  1 I 1.98, 1 Pd 2.07
O (0.2702, 0.8045, 0.8045)  1 I 1.98, 1 Pd 2.07
O (0.3935, 0.3935, 0.8347)  1 I 1.92
O (0.3935, 0.8347, 0.3935)  1 I 1.92
O (0.6065, 0.1653, 0.6065)  1 I 1.92
O (0.6065, 0.6065, 0.1653)  1 I 1.92
O (0.7298, 0.1955, 0.1955)  1 I 1.98, 1 Pd 2.07
O (0.8045, 0.2702, 0.8045)  1 I 1.98, 1 Pd 2.07
O (0.8045, 0.8045, 0.2702)  1 I 1.98, 1 Pd 2.07
O (0.8347, 0.3935, 0.3935)  1 I 1.92

## Properties
formation energy without anion corrections = -7.425 eV per formula unit

[9]
Density functional theory data (PBE-GGA) for an optimized crystal structure of Ho2TmCo.

Lattice parameters (Å, degrees): 3.6664 11.8241 9.1993 90.00 90.00 90.00
Last column: nearest neighbours and their distance in Å.
Element x y z (fractional)
Ho (0.0000, 0.1404, 0.0710)  2 Co 2.78
Ho (0.0000, 0.1404, 0.4290)  2 Co 2.78
Ho (0.0000, 0.8596, 0.5710)  2 Co 2.78
Ho (0.0000, 0.8596, 0.9290)  2 Co 2.78
Ho (0.5000, 0.3596, 0.5710)  2 Co 2.78
Ho (0.5000, 0.3596, 0.9290)  2 Co 2.78
Ho (0.5000, 0.6404, 0.0710)  2 Co 2.78
Ho (0.5000, 0.6404, 0.4290)  2 Co 2.78
Tm (0.0000, 0.4167, 0.2500)  2 Co 2.70
Tm (0.0000, 0.5833, 0.7500)  2 Co 2.70
Tm (0.5000, 0.0833, 0.7500)  2 Co 2.70
Tm (0.5000, 0.9167, 0.2500)  2 Co 2.70
Co (0.0000, 0.2510, 0.7500)  2 Tm 2.70, 4 Ho 2.78
Co (0.0000, 0.7490, 0.2500)  2 Tm 2.70, 4 Ho 2.78
Co (0.5000, 0.2490, 0.2500)  2 Tm 2.70, 4 Ho 2.78
Co (0.5000, 0.7510, 0.7500)  2 Tm 2.70, 4 Ho 2.78

## Properties
formation energy = -0.156 eV/atom

[10]
Density functional theory data (PBE-GGA) for an optimized crystal structure of KBa2P2N6.

Lattice parameters (Å, degrees): 7.9398 7.9398 7.9398 44.73 44.73 44.73
Last column: nearest neighbours and their distance in Å.
Element x y z (fractional)
K (0.0000, 0.0000, 0.0000)  6 N 2.84
Ba (0.1991, 0.1991, 0.1991)  9 N 2.89-3.12
Ba (0.8009, 0.8009, 0.8009)  9 N 2.89-3.12
P (0.4305, 0.4305, 0.4305)  3 N 1.57
P (0.5695, 0.5695, 0.5695)  3 N 1.57
N (0.2679, 0.7193, 0.7193)  1 P 1.57
N (0.2807, 0.2807, 0.7321)  1 P 1.57
N (0.2807, 0.7321, 0.2807)  1 P 1.57
N (0.7193, 0.2679, 0.7193)  1 P 1.57
N (0.7193, 0.7193, 0.2679)  1 P 1.57
N (0.7321, 0.2807, 0.2807)  1 P 1.57

## Properties
formation energy without anion corrections = -2.313 eV per formula unit

[11]
Density functional theory data (PBE-GGA) for an optimized crystal structure of PrDy2Si4.

Lattice parameters (Å, degrees): 3.9017 4.3245 17.6015 90.00 90.00 90.00
Last column: nearest neighbours and their distance in Å.
Element x y z (fractional)
Pr (0.0000, 0.0000, 0.0000)  12 Si 3.15-3.42
Pr (0.5000, 0.5000, 0.5000)  12 Si 3.15-3.42
Dy (0.0000, 0.5000, 0.3170)  7 Si 2.93-2.97
Dy (0.0000, 0.5000, 0.6830)  7 Si 2.93-2.97
Dy (0.5000, 0.0000, 0.1830)  7 Si 2.93-2.97
Dy (0.5000, 0.0000, 0.8170)  7 Si 2.93-2.97
Si (0.0000, 0.0000, 0.4325)  3 Si 2.38-2.44
Si (0.0000, 0.0000, 0.5675)  3 Si 2.38-2.44
Si (0.0000, 0.5000, 0.1505)  2 Si 2.44
Si (0.0000, 0.5000, 0.8495)  2 Si 2.44
Si (0.5000, 0.0000, 0.3495)  2 Si 2.44
Si (0.5000, 0.0000, 0.6505)  2 Si 2.44
Si (0.5000, 0.5000, 0.0675)  3 Si 2.38-2.44
Si (0.5000, 0.5000, 0.9325)  3 Si 2.38-2.44

## Properties
formation energy without anion corrections = -5.325 eV per formula unit